Record 1
VASP calculation (GGA-PBE) on an optimized crystal structure of NdPaGaTc.

abc: 7.101 7.101 7.101
angles: 90.00 90.00 90.00
Space group F-43m (No. 216)
Inequivalent atoms, fractional coordinates:
Nd (0.000, 0.000, 0.000) [4 per cell]
Pa (0.000, 0.000, 0.500) [4 per cell]
Ga (0.250, 0.250, 0.750) [4 per cell]
Tc (0.250, 0.250, 0.250) [4 per cell]

Calculated values
* calculated total energy: -6.964 eV/atom
* calculated density: 10.1 g cm⁻³
* energy of formation: -0.20 eV per formula unit


Record 2
VASP calculation (GGA-PBE) on an optimized crystal structure of NdPaZnGa.

abc: 7.230 7.230 7.230
angles: 90.00 90.00 90.00
Space group F-43m (No. 216)
Inequivalent atoms, fractional coordinates:
Nd (0.000, 0.000, 0.000) [4 per cell]
Pa (0.000, 0.000, 0.500) [4 per cell]
Zn (0.250, 0.250, 0.750) [4 per cell]
Ga (0.250, 0.250, 0.250) [4 per cell]

Calculated values
* calculated total energy: -4.771 eV/atom
* calculated density: 9.0 g cm⁻³
* energy of formation: -0.52 eV per formula unit


Record 3
VASP calculation (GGA-PBE) on an optimized crystal structure of NdGa2Pb.

abc: 7.398 7.398 7.398
angles: 90.00 90.00 90.00
Space group Fm-3m (No. 225)
Inequivalent atoms, fractional coordinates:
Nd (0.000, 0.000, 0.000) [4 per cell]
Ga (0.250, 0.250, 0.250) [8 per cell]
Pb (0.000, 0.000, 0.500) [4 per cell]

Calculated values
* calculated total energy: -3.867 eV/atom
* calculated density: 8.1 g cm⁻³
* excess energy over the best structure of this formula in the dataset: 184 meV/atom
* energy of formation: -0.94 eV per formula unit


Record 4
VASP calculation (GGA-PBE) on an optimized crystal structure of Nd2GaPb.

abc: 3.551 3.551 8.792
angles: 90.00 90.00 90.00
Space group P4/mmm (No. 123)
Inequivalent atoms, fractional coordinates:
Nd (0.000, 0.000, 0.227) [2 per cell]
Ga (0.500, 0.500, 0.000) [1 per cell]
Pb (0.500, 0.500, 0.500) [1 per cell]

Calculated values
* calculated total energy: -4.590 eV/atom
* calculated density: 8.5 g cm⁻³
* energy of formation: -2.09 eV per formula unit


Record 5
VASP calculation (GGA-PBE) on an optimized crystal structure of Nd6Ga2Pb.

abc: 9.970 9.998 11.089
angles: 90.00 90.00 90.00
Space group Immm (No. 71)
Inequivalent atoms, fractional coordinates:
Nd (0.000, 0.204, 0.236) [8 per cell]
Nd (0.205, 0.500, 0.179) [8 per cell]
Nd (0.216, 0.312, 0.500) [8 per cell]
Ga (0.000, 0.360, 0.000) [4 per cell]
Ga (0.000, 0.500, 0.381) [4 per cell]
Pb (0.000, 0.000, 0.000) [2 per cell]
Pb (0.000, 0.000, 0.500) [2 per cell]

Calculated values
* calculated total energy: -4.668 eV/atom
* calculated density: 7.3 g cm⁻³
* energy of formation: -3.64 eV per formula unit


Record 6
VASP calculation (GGA-PBE) on an optimized crystal structure of Nd2GaPb.

abc: 3.8570 3.8570 28.2108
angles: 90.00 90.00 120.00
Space group R-3m (No. 166, hexagonal axes)
Inequivalent atoms, fractional coordinates:
Nd (0.0000, 0.0000, 0.2411) [6 per cell]
Ga (0.0000, 0.0000, 0.5000) [3 per cell]
Pb (0.0000, 0.0000, 0.0000) [3 per cell]

Calculated values
* calculated total energy: -4.455 eV/atom
* calculated density: 7.7 g cm⁻³
* energy of formation: -1.55 eV per formula unit